(1)
PmS2: optimized geometry, PBE.

Cell: 3.9463 3.9463 8.1774 Å, 90.00 90.00 90.00°
With the nearest neighbours (Å) after each atom.
Sites, in units of the cell vectors:
Pm 0.0000 0.5000 0.7260  9 S 2.89-2.99
Pm 0.5000 0.0000 0.2740  9 S 2.89-2.99
S 0.0000 0.0000 0.0000  4 S 2.79, 4 Pm 2.99
S 0.5000 0.5000 0.0000  4 S 2.79, 4 Pm 2.99
S 0.0000 0.5000 0.3671  5 Pm 2.89-2.93
S 0.5000 0.0000 0.6329  5 Pm 2.89-2.93

Formation energy without anion corrections (meV/atom): -1677
Polymorph energy (0 for the lowest one) (meV per atom): 70

=====

(2)
Na2VSnH: optimized geometry, PBE.

Cell: 4.2604 4.8899 4.2604 Å, 90.00 90.00 90.00°
With the nearest neighbours (Å) after each atom.
Sites, in units of the cell vectors:
Na 0.0000 0.0000 0.5000  2 H 2.13
Na 0.5000 0.0000 0.0000  2 H 2.13
Sn 0.5000 0.5000 0.5000  4 V 3.01, 8 Na 3.24
H 0.0000 0.0000 0.0000  4 Na 2.13
V 0.0000 0.5000 0.0000  2 H 2.44

E_tot (eV per atom): -3.61

=====

(3)
PmHoInRu: optimized geometry, PBE.

Cell: 5.1179 5.1179 5.1179 Å, 60.00 60.00 60.00°
With the nearest neighbours (Å) after each atom.
Sites, in units of the cell vectors:
Ru 0.7500 0.7500 0.7500  4 Ho 3.13, 4 Pm 3.13
In 0.2500 0.2500 0.2500  4 Pm 3.13, 4 Ho 3.13
Ho 0.0000 0.0000 0.0000  4 In 3.13, 4 Ru 3.13
Pm 0.5000 0.5000 0.5000  4 In 3.13, 4 Ru 3.13

Formation energy from the elements (eV/f.u.): -1.14

=====

(4)
LiPbAuO4: optimized geometry, PBE.

Cell: 6.1023 6.9360 6.4196 Å, 117.57 90.00 116.10°
With the nearest neighbours (Å) after each atom.
Sites, in units of the cell vectors:
Li 0.8676 0.7352 0.1176  2 O 1.98
Li 0.1324 0.2648 0.8824  2 O 1.98
Pb 0.5000 0.0000 0.5000  6 O 2.17-2.39
Pb 0.5000 0.0000 0.0000  6 O 2.17-2.39
Au 0.5000 0.5000 0.5000  4 O 2.05
Au 0.0000 0.5000 0.5000  4 O 2.05
O 0.7227 0.4454 0.6822  2 Au 2.05
O 0.2393 0.9506 0.2253  1 Li 1.98, 2 Pb 2.17
O 0.7113 0.9506 0.2253  1 Li 1.98, 2 Pb 2.17
O 0.7227 0.4454 0.2631  2 Au 2.05
O 0.2773 0.5546 0.7369  2 Au 2.05
O 0.7607 0.0494 0.7747  1 Li 1.98, 2 Pb 2.17
O 0.2887 0.0494 0.7747  1 Li 1.98, 2 Pb 2.17
O 0.2773 0.5546 0.3178  2 Au 2.05

Formation energy without anion corrections (meV/atom): -787

=====

(5)
LiGdYMg: optimized geometry, PBE.

Cell: 5.3445 5.3445 5.3445 Å, 60.00 60.00 60.00°
With the nearest neighbours (Å) after each atom.
Sites, in units of the cell vectors:
Y 0.5000 0.5000 0.5000  4 Mg 3.27, 4 Li 3.27
Mg 0.7500 0.7500 0.7500  4 Gd 3.27, 4 Y 3.27
Gd 0.0000 0.0000 0.0000  4 Li 3.27, 4 Mg 3.27
Li 0.2500 0.2500 0.2500  4 Y 3.27, 4 Gd 3.27

Formation energy from the elements (eV/f.u.): 0.05

=====

(6)
CeAg2Sn: optimized geometry, PBE.

Cell: 4.5614 4.5805 4.5805 Å, 90.00 90.00 90.00°
With the nearest neighbours (Å) after each atom.
Sites, in units of the cell vectors:
Ag 0.0000 0.0000 0.5000  4 Sn 3.23, 4 Ce 3.23, 4 Ag 3.24
Ag 0.0000 0.5000 0.0000  4 Sn 3.23, 4 Ce 3.23, 4 Ag 3.24
Sn 0.5000 0.5000 0.5000  8 Ag 3.23, 4 Ce 3.24
Ce 0.5000 0.0000 0.0000  8 Ag 3.23, 4 Sn 3.24

Formation energy from the elements (eV/f.u.): -0.68

=====

(7)
Bi2Te4F: optimized geometry, PBE.

Cell: 4.7266 4.7266 9.7737 Å, 76.01 76.01 90.00°
With the nearest neighbours (Å) after each atom.
Sites, in units of the cell vectors:
Te 0.8147 0.8147 0.3706  5 Bi 3.05-3.41, 1 F 3.40
Te 0.1853 0.1853 0.6294  5 Bi 3.05-3.41, 1 F 3.40
Te 0.0000 0.5000 0.0000  2 F 2.36
Te 0.5000 0.0000 0.0000  2 F 2.36
Bi 0.6486 0.6486 0.7028  5 Te 3.05-3.41
Bi 0.3514 0.3514 0.2972  5 Te 3.05-3.41
F 0.0000 0.0000 0.0000  4 Te 2.36

Formation energy without anion corrections (meV/atom): -197

=====

(8)
Sr2MgF: optimized geometry, PBE.

Cell: 7.7734 7.7734 7.0606 Å, 56.60 56.60 90.00°
With the nearest neighbours (Å) after each atom.
Sites, in units of the cell vectors:
Sr 0.5181 0.1250 0.2500  2 F 2.50
Sr 0.2319 0.6250 0.2500  2 F 2.50
Sr 0.3750 0.4819 0.7500  2 F 2.50
Sr 0.8750 0.7681 0.7500  2 F 2.50
Mg 0.0000 0.0000 0.0000  4 Sr 3.56
Mg 0.7500 0.2500 0.5000  4 Sr 3.56
F 0.5000 0.5000 0.0000  4 Sr 2.50
F 0.2500 0.7500 0.5000  4 Sr 2.50

Formation energy without anion corrections (meV/atom): -1319
Polymorph energy (0 for the lowest one) (meV per atom): 0

=====

(9)
CsAsHCl: optimized geometry, PBE.

Cell: 4.6138 5.2502 5.3426 Å, 105.90 91.00 91.50°
With the nearest neighbours (Å) after each atom.
Sites, in units of the cell vectors:
Cs 0.4016 0.2925 0.5468  3 H 3.39-3.56, 4 Cl 3.59-3.69
As 0.9451 0.7066 0.0990  1 H 1.56
H 0.6210 0.7009 0.1734  1 As 1.56
Cl 0.8920 0.1253 0.0068  1 As 2.40

Polymorph energy (0 for the lowest one) (meV per atom): 0

=====

(10)
Sm2Pu2Pt15: optimized geometry, PBE.

Cell: 7.1067 7.1067 7.1067 Å, 82.41 82.41 82.41°
With the nearest neighbours (Å) after each atom.
Sites, in units of the cell vectors:
Sm 0.3568 0.3568 0.3568  12 Pt 3.21-3.39, 1 Pu 3.59
Sm 0.6432 0.6432 0.6432  12 Pt 3.21-3.39, 1 Pu 3.59
Pu 0.0975 0.0975 0.0975  1 Pu 2.70, 6 Pt 2.87-2.96
Pu 0.9025 0.9025 0.9025  1 Pu 2.70, 6 Pt 2.87-2.96
Pt 0.5000 0.0000 0.0000  8 Pt 2.73-2.75, 2 Pu 2.87
Pt 0.0000 0.0000 0.5000  8 Pt 2.73-2.75, 2 Pu 2.87
Pt 0.0000 0.5000 0.0000  8 Pt 2.73-2.75, 2 Pu 2.87
Pt 0.0000 0.6822 0.3178  8 Pt 2.75-2.98
Pt 0.6822 0.3178 0.0000  8 Pt 2.75-2.98
Pt 0.3178 0.0000 0.6822  8 Pt 2.75-2.98
Pt 0.3178 0.6822 0.0000  8 Pt 2.75-2.98
Pt 0.6822 0.0000 0.3178  8 Pt 2.75-2.98
Pt 0.0000 0.3178 0.6822  8 Pt 2.75-2.98
Pt 0.1635 0.6544 0.6544  8 Pt 2.67-2.86, 1 Pu 2.96
Pt 0.6544 0.6544 0.1635  8 Pt 2.67-2.86, 1 Pu 2.96
Pt 0.6544 0.1635 0.6544  8 Pt 2.67-2.86, 1 Pu 2.96
Pt 0.8365 0.3456 0.3456  8 Pt 2.67-2.86, 1 Pu 2.96
Pt 0.3456 0.3456 0.8365  8 Pt 2.67-2.86, 1 Pu 2.96
Pt 0.3456 0.8365 0.3456  8 Pt 2.67-2.86, 1 Pu 2.96

Formation energy from the elements (eV/f.u.): -11.85

=====

(11)
AcTb2Ho8: optimized geometry, PBE.

Cell: 5.4761 10.2752 10.2752 Å, 39.98 92.91 92.91°
With the nearest neighbours (Å) after each atom.
Sites, in units of the cell vectors:
Ac 0.0000 0.0000 0.0000  10 Ho 3.62-3.84
Tb 0.7534 0.2852 0.2852  11 Ho 3.24-3.54
Tb 0.2466 0.7148 0.7148  11 Ho 3.24-3.54
Ho 0.2702 0.1334 0.5947  4 Ho 3.24-3.51, 3 Tb 3.44-3.53, 1 Ac 3.62
Ho 0.2702 0.5947 0.1334  4 Ho 3.24-3.51, 3 Tb 3.44-3.53, 1 Ac 3.62
Ho 0.7298 0.8666 0.4053  4 Ho 3.24-3.51, 3 Tb 3.44-3.53, 1 Ac 3.62
Ho 0.2398 0.5472 0.5472  2 Ho 3.11-3.46, 1 Tb 3.24
Ho 0.7298 0.4053 0.8666  4 Ho 3.24-3.51, 3 Tb 3.44-3.53, 1 Ac 3.62
Ho 0.2348 0.1904 0.1904  4 Tb 3.29-3.54, 4 Ho 3.47-3.51
Ho 0.7652 0.8096 0.8096  4 Tb 3.29-3.54, 4 Ho 3.47-3.51
Ho 0.7602 0.4528 0.4528  2 Ho 3.11-3.46, 1 Tb 3.24

Formation energy from the elements (eV/f.u.): 1.43

=====

(12)
Cs3Pu4I12: optimized geometry, PBE.

Cell: 10.8577 10.8577 10.8577 Å, 109.47 109.47 109.47°
With the nearest neighbours (Å) after each atom.
Sites, in units of the cell vectors:
Cs 0.5000 0.5000 0.0000  8 I 3.96-4.39
Cs 0.0000 0.5000 0.5000  8 I 3.96-4.39
Cs 0.5000 0.0000 0.5000  8 I 3.96-4.39
Pu 0.5000 0.5000 0.5000  6 I 3.17
Pu 0.5000 0.0000 0.0000  6 I 3.17
Pu 0.0000 0.0000 0.5000  6 I 3.17
Pu 0.0000 0.5000 0.0000  6 I 3.17
I 0.2276 0.7196 0.9471  2 Pu 3.17
I 0.7724 0.2804 0.0529  2 Pu 3.17
I 0.2276 0.2804 0.5080  2 Pu 3.17
I 0.2804 0.0529 0.7724  2 Pu 3.17
I 0.9471 0.2276 0.7196  2 Pu 3.17
I 0.4920 0.7724 0.7196  2 Pu 3.17
I 0.7196 0.4920 0.7724  2 Pu 3.17
I 0.0529 0.7724 0.2804  2 Pu 3.17
I 0.7724 0.7196 0.4920  2 Pu 3.17
I 0.7196 0.9471 0.2276  2 Pu 3.17
I 0.5080 0.2276 0.2804  2 Pu 3.17
I 0.2804 0.5080 0.2276  2 Pu 3.17

Formation energy without anion corrections (meV/atom): -1216

=====

(13)
Sr2AgF: optimized geometry, PBE.

Cell: 4.7282 4.7282 8.5388 Å, 73.93 73.93 60.00°
With the nearest neighbours (Å) after each atom.
Sites, in units of the cell vectors:
Sr 0.0945 0.0945 0.7166  1 F 2.29
Sr 0.9055 0.9055 0.2834  1 F 2.29
Ag 0.5000 0.5000 0.5000  6 Sr 3.24
F 0.0000 0.0000 0.0000  2 Sr 2.29

Formation energy without anion corrections (meV/atom): -1431
Polymorph energy (0 for the lowest one) (meV per atom): 9

=====

(14)
SiSb2Pt: optimized geometry, PBE.

Cell: 6.1504 6.1504 7.2883 Å, 65.04 65.04 90.00°
With the nearest neighbours (Å) after each atom.
Sites, in units of the cell vectors:
Sb 0.6326 0.1250 0.2500  2 Pt 2.59, 2 Si 2.65
Sb 0.1174 0.6250 0.2500  2 Pt 2.59, 2 Si 2.65
Sb 0.3750 0.3674 0.7500  2 Pt 2.59, 2 Si 2.65
Sb 0.8750 0.8826 0.7500  2 Pt 2.59, 2 Si 2.65
Si 0.5000 0.5000 0.0000  4 Sb 2.65
Si 0.2500 0.7500 0.5000  4 Sb 2.65
Pt 0.0000 0.0000 0.0000  4 Sb 2.59
Pt 0.7500 0.2500 0.5000  4 Sb 2.59

Formation energy without anion corrections (meV/atom): 2

=====

(15)
TlCr2Si: optimized geometry, PBE.

Cell: 8.3612 8.3612 8.3612 Å, 21.57 21.57 21.57°
With the nearest neighbours (Å) after each atom.
Sites, in units of the cell vectors:
Cr 0.9875 0.9875 0.9875  3 Si 2.51
Cr 0.5125 0.5125 0.5125  3 Si 2.51
Si 0.2500 0.2500 0.2500  6 Cr 2.51
Tl 0.7500 0.7500 0.7500  6 Cr 2.96, 6 Tl 3.13

Formation energy without anion corrections (meV/atom): 477

=====

(16)
LaAlAs2: optimized geometry, PBE.

Cell: 5.4786 5.4786 4.7348 Å, 74.99 74.99 42.93°
With the nearest neighbours (Å) after each atom.
Sites, in units of the cell vectors:
As 0.9775 0.9775 0.0156  1 As 2.72, 2 Al 2.88
As 0.7482 0.7482 0.8282  2 Al 2.59, 1 As 2.72
Al 0.2659 0.2659 0.1613  4 As 2.59-2.88
La 0.5084 0.5084 0.4949  8 As 3.11-3.41, 4 Al 3.28-3.42

Formation energy from the elements (eV/f.u.): -2.46

=====

(17)
ScSbTe2Ir: optimized geometry, PBE.

Cell: 5.3318 5.3318 5.3928 Å, 90.00 90.00 90.00°
With the nearest neighbours (Å) after each atom.
Sites, in units of the cell vectors:
Sc 0.0000 0.0000 0.0000  4 Te 2.67, 2 Sb 2.70
Sb 0.0000 0.0000 0.5000  2 Sc 2.70
Ir 0.5000 0.5000 0.5000  4 Sb 3.77, 8 Te 3.79
Te 0.0000 0.5000 0.0000  2 Sc 2.67
Te 0.5000 0.0000 0.0000  2 Sc 2.67

Formation energy without anion corrections (meV/atom): 908
Polymorph energy (0 for the lowest one) (meV per atom): 671

=====

(18)
K3Na2Hg2: optimized geometry, PBE.

Cell: 4.3832 7.8561 9.7252 Å, 110.72 90.00 106.20°
With the nearest neighbours (Å) after each atom.
Sites, in units of the cell vectors:
K 0.5000 0.0000 0.0000  4 Hg 3.56
K 0.6174 0.2347 0.4448  3 Hg 3.57-3.62
K 0.3826 0.7653 0.5552  3 Hg 3.57-3.62
Na 0.8279 0.6559 0.1525  3 Hg 3.22-3.42
Na 0.1721 0.3441 0.8475  3 Hg 3.22-3.42
Hg 0.8121 0.6241 0.7930  3 Na 3.22-3.42, 3 K 3.56-3.57
Hg 0.1879 0.3759 0.2070  3 Na 3.22-3.42, 3 K 3.56-3.57

Formation energy from the elements (eV/f.u.): -0.97

=====

(19)
Sn5Hg3S12: optimized geometry, PBE.

Cell: 13.8230 13.8230 13.8230 Å, 109.47 109.47 109.47°
With the nearest neighbours (Å) after each atom.
Sites, in units of the cell vectors:
Hg 0.7500 0.3750 0.1250  8 S 2.97-3.06
Hg 0.8750 0.7500 0.1250  8 S 2.97-3.06
Hg 0.3750 0.7500 0.6250  8 S 2.97-3.06
Hg 0.2500 0.1250 0.3750  8 S 2.97-3.06
Hg 0.8750 0.1250 0.2500  8 S 2.97-3.06
Hg 0.3750 0.6250 0.2500  8 S 2.97-3.06
Hg 0.6250 0.3750 0.7500  8 S 2.97-3.06
Hg 0.1250 0.8750 0.7500  8 S 2.97-3.06
Hg 0.7500 0.8750 0.6250  8 S 2.97-3.06
Hg 0.6250 0.2500 0.3750  8 S 2.97-3.06
Hg 0.1250 0.2500 0.8750  8 S 2.97-3.06
Hg 0.2500 0.6250 0.8750  8 S 2.97-3.06
Sn 0.1250 0.3750 0.2500  4 S 2.44
Sn 0.0000 0.5000 0.0000  6 S 2.69
Sn 0.0000 0.0000 0.0000  6 S 2.69
Sn 0.3750 0.2500 0.1250  4 S 2.44
Sn 0.5000 0.0000 0.5000  6 S 2.69
Sn 0.5000 0.5000 0.0000  6 S 2.69
Sn 0.1250 0.7500 0.3750  4 S 2.44
Sn 0.7500 0.1250 0.8750  4 S 2.44
Sn 0.7500 0.6250 0.3750  4 S 2.44
Sn 0.3750 0.1250 0.7500  4 S 2.44
Sn 0.6250 0.8750 0.2500  4 S 2.44
Sn 0.5000 0.5000 0.5000  6 S 2.69
Sn 0.5000 0.0000 0.0000  6 S 2.69
Sn 0.0000 0.0000 0.5000  6 S 2.69
Sn 0.2500 0.3750 0.6250  4 S 2.44
Sn 0.2500 0.8750 0.1250  4 S 2.44
Sn 0.0000 0.5000 0.5000  6 S 2.69
Sn 0.8750 0.2500 0.6250  4 S 2.44
Sn 0.6250 0.7500 0.8750  4 S 2.44
Sn 0.8750 0.6250 0.7500  4 S 2.44
S 0.7175 0.1324 0.0396  2 Sn 2.44-2.69
S 0.3221 0.5396 0.4072  2 Sn 2.44-2.69
S 0.9604 0.3676 0.2825  2 Sn 2.44-2.69
S 0.5396 0.2175 0.1324  2 Sn 2.44-2.69
S 0.5851 0.7175 0.6779  2 Sn 2.44-2.69
S 0.9604 0.5928 0.1779  2 Sn 2.44-2.69
S 0.3221 0.7825 0.4149  2 Sn 2.44-2.69
S 0.0928 0.9149 0.1324  2 Sn 2.44-2.69
S 0.5928 0.9604 0.6779  2 Sn 2.44-2.69
S 0.7175 0.5851 0.1779  2 Sn 2.44-2.69
S 0.7825 0.4604 0.3676  2 Sn 2.44-2.69
S 0.8221 0.9072 0.0396  2 Sn 2.44-2.69
S 0.1324 0.7175 0.5396  2 Sn 2.44-2.69
S 0.3676 0.4072 0.0851  2 Sn 2.44-2.69
S 0.0851 0.9072 0.3676  2 Sn 2.44-2.69
S 0.4149 0.1324 0.5928  2 Sn 2.44-2.69
S 0.0851 0.1779 0.2175  2 Sn 2.44-2.69
S 0.4604 0.6779 0.0928  2 Sn 2.44-2.69
S 0.8221 0.9149 0.2825  2 Sn 2.44-2.69
S 0.1324 0.4149 0.0928  2 Sn 2.44-2.69
S 0.3676 0.9604 0.7825  2 Sn 2.44-2.69
S 0.5928 0.6324 0.4149  2 Sn 2.44-2.69
S 0.9072 0.8221 0.5396  2 Sn 2.44-2.69
S 0.7825 0.3221 0.9149  2 Sn 2.44-2.69
S 0.4072 0.3676 0.5851  2 Sn 2.44-2.69
S 0.0928 0.1779 0.4604  2 Sn 2.44-2.69
S 0.2175 0.6779 0.0851  2 Sn 2.44-2.69
S 0.1779 0.0851 0.7175  2 Sn 2.44-2.69
S 0.6324 0.0396 0.2175  2 Sn 2.44-2.69
S 0.8676 0.5851 0.9072  2 Sn 2.44-2.69
S 0.5396 0.3221 0.9072  2 Sn 2.44-2.69
S 0.5851 0.8676 0.4072  2 Sn 2.44-2.69
S 0.9149 0.8221 0.7825  2 Sn 2.44-2.69
S 0.9149 0.0928 0.6324  2 Sn 2.44-2.69
S 0.8676 0.2825 0.4604  2 Sn 2.44-2.69
S 0.1779 0.0928 0.9604  2 Sn 2.44-2.69
S 0.6324 0.5928 0.9149  2 Sn 2.44-2.69
S 0.4072 0.0396 0.3221  2 Sn 2.44-2.69
S 0.2825 0.4149 0.8221  2 Sn 2.44-2.69
S 0.2175 0.5396 0.6324  2 Sn 2.44-2.69
S 0.9072 0.0851 0.8676  2 Sn 2.44-2.69
S 0.6779 0.2175 0.5851  2 Sn 2.44-2.69
S 0.4604 0.7825 0.8676  2 Sn 2.44-2.69
S 0.0396 0.4072 0.8221  2 Sn 2.44-2.69
S 0.4149 0.2825 0.3221  2 Sn 2.44-2.69
S 0.0396 0.6324 0.7175  2 Sn 2.44-2.69
S 0.6779 0.4604 0.5928  2 Sn 2.44-2.69
S 0.2825 0.8676 0.9604  2 Sn 2.44-2.69

Formation energy without anion corrections (meV/atom): -97

=====

(20)
Cs2PaInI8: optimized geometry, PBE.

Cell: 9.0927 7.4739 10.4152 Å, 90.27 89.81 89.88°
With the nearest neighbours (Å) after each atom.
Sites, in units of the cell vectors:
Cs 0.5001 0.4981 0.7431  6 I 3.68-4.10
Cs 0.4999 0.5019 0.2569  6 I 3.68-4.10
Pa 0.0000 0.0000 0.0000  6 I 2.96-2.97
In 0.0000 0.0000 0.5000  2 I 3.25
I 0.1069 0.7604 0.2049  1 Pa 2.96
I 0.7114 0.8135 0.9994  1 Pa 2.97
I 0.8920 0.2393 0.2067  1 Pa 2.96
I 0.8931 0.2396 0.7951  1 Pa 2.96
I 0.2886 0.1865 0.0006  1 Pa 2.97
I 0.1080 0.7607 0.7933  1 Pa 2.96
I 0.7050 0.7550 0.5011  1 In 3.25
I 0.2950 0.2450 0.4989  1 In 3.25

Formation energy without anion corrections (meV/atom): -1022